Entry 1:
AcPu2O11: optimized geometry, GGA-PBE. Values from VASP.

```
&SYSTEM
  ibrav = 0, nat = 28, ntyp = 3
/
ATOMIC_SPECIES
Ac 227.00 Ac.upf
Pu 244.00 Pu.upf
O 16.00 O.upf
CELL_PARAMETERS angstrom
-5.591 5.282 4.248
5.591 -5.282 4.248
5.591 5.282 -4.248
ATOMIC_POSITIONS angstrom
Ac 0.000 0.000 0.000
Ac 5.591 0.000 0.000
Pu 2.796 -2.536 2.217
Pu 2.796 2.956 1.789
Pu 2.796 7.818 -2.031
Pu 2.796 2.326 6.037
O 1.477 -1.268 1.689
O 4.114 -1.268 1.689
O 1.472 1.954 0.953
O 4.119 1.954 0.953
O 2.796 4.439 -1.041
O 4.114 6.550 -2.559
O 7.068 1.268 1.689
O 2.796 -1.990 4.370
O 2.796 0.843 3.208
O 2.796 4.856 0.151
O 2.796 0.426 4.399
O -1.465 3.769 2.730
O 7.056 3.769 2.730
O 1.475 3.974 2.583
O 4.117 3.974 2.583
O 2.796 7.272 0.122
O 1.472 3.328 5.202
O 4.119 3.328 5.202
O -1.475 6.590 2.583
O 1.475 1.308 6.831
O 1.465 6.795 2.730
O -1.465 1.513 6.978
```

Calculated values
Total moment (μB/f.u.): 3.0
VASP energy (eV/atom): -8.18
Formation energy (no corrections) (eV/atom): -1.95


Entry 2:
TbNd4Ag: optimized geometry, GGA-PBE. Values from VASP.

```
&SYSTEM
  ibrav = 0, nat = 6, ntyp = 3
/
ATOMIC_SPECIES
Tb 158.93 Tb.upf
Nd 144.24 Nd.upf
Ag 107.87 Ag.upf
CELL_PARAMETERS angstrom
3.678 0.000 0.000
0.000 3.678 0.000
0.000 0.000 14.189
ATOMIC_POSITIONS angstrom
Tb 0.000 0.000 0.000
Nd 0.000 0.000 5.133
Nd 0.000 0.000 9.055
Nd 1.839 1.839 2.510
Nd 1.839 1.839 11.679
Ag 1.839 1.839 7.094
```

Calculated values
Calculated formation energy (eV/atom): -0.066
Total moment (μB/f.u.): 0.0
VASP energy (eV/atom): -4.49


Entry 3:
NaSr2LiGe: optimized geometry, GGA-PBE. Values from VASP.

```
&SYSTEM
  ibrav = 0, nat = 5, ntyp = 4
/
ATOMIC_SPECIES
Na 22.99 Na.upf
Sr 87.62 Sr.upf
Li 6.94 Li.upf
Ge 72.64 Ge.upf
CELL_PARAMETERS angstrom
6.200 0.000 0.000
0.000 6.200 0.000
0.000 0.000 5.079
ATOMIC_POSITIONS angstrom
Na 0.000 0.000 0.000
Sr 0.000 3.100 2.539
Sr 3.100 0.000 2.539
Li 3.100 3.100 0.000
Ge 3.100 3.100 2.539
```

Calculated values
Calculated formation energy (eV/atom): -0.176
Total moment (μB/f.u.): 0.0
VASP energy (eV/atom): -2.42


Entry 4:
Ca4TlP: optimized geometry, GGA-PBE. Values from VASP.

```
&SYSTEM
  ibrav = 0, nat = 12, ntyp = 3
/
ATOMIC_SPECIES
Ca 40.08 Ca.upf
Tl 204.38 Tl.upf
P 30.97 P.upf
CELL_PARAMETERS angstrom
7.902 -3.834 0.000
7.902 3.834 0.000
-1.789 0.000 5.852
ATOMIC_POSITIONS angstrom
Ca 5.140 1.911 2.410
Ca 7.902 2.258 0.000
Ca 3.553 0.000 5.167
Ca 8.876 1.911 3.442
Ca 5.140 -1.911 2.410
Ca 10.463 0.000 0.685
Ca 7.902 -2.258 0.000
Ca 8.876 -1.911 3.442
Tl 2.636 0.000 1.180
Tl 11.380 0.000 4.672
P 7.389 0.000 1.647
P 6.627 0.000 4.205
```

Calculated values
Calculated formation energy (eV/atom): -0.530
Total moment (μB/f.u.): 0.0
VASP energy (eV/atom): -3.16


> Which formula does entry 1 have?

AcPu2O11


> Which of these has the lowest VASP energy?

AcPu2O11


> Which formula does entry 4 have?

Ca4TlP


Please write out number 2 again, unchanged.
TbNd4Ag: optimized geometry, GGA-PBE. Values from VASP.

```
&SYSTEM
  ibrav = 0, nat = 6, ntyp = 3
/
ATOMIC_SPECIES
Tb 158.93 Tb.upf
Nd 144.24 Nd.upf
Ag 107.87 Ag.upf
CELL_PARAMETERS angstrom
3.678 0.000 0.000
0.000 3.678 0.000
0.000 0.000 14.189
ATOMIC_POSITIONS angstrom
Tb 0.000 0.000 0.000
Nd 0.000 0.000 5.133
Nd 0.000 0.000 9.055
Nd 1.839 1.839 2.510
Nd 1.839 1.839 11.679
Ag 1.839 1.839 7.094
```

Calculated values
Calculated formation energy (eV/atom): -0.066
Total moment (μB/f.u.): 0.0
VASP energy (eV/atom): -4.49